This record from the Alexandria database describes a relaxed LiCd2Rh crystal. The functional is PBEsol.

Summary:
The value obtained for the total magnetic moment is 0.0 Bohr magnetons per cell. For the calculated total energy, the calculation gives -13.510 eV/cell.

Unit cell a=3.196 b=4.497 c=4.497 alpha=90.00 beta=90.00 gamma=90.00
Element x y z (fractional)
Cd 0.000 0.500 0.625
Cd 0.000 0.000 0.125
Rh 0.500 0.500 0.125
Li 0.500 0.000 0.625